--- w ---
Ti3AlGa2 | PBE | optimized geometry Values from VASP.

Results
* DOS(E_F): 6.37 states/eV per cell
* mass density: 5.4 Mg/m³
* size of the total moment: 0.00 Bohr magnetons per cell

Quantum ESPRESSO input file:
```
&SYSTEM
  ibrav = 0, nat = 6, ntyp = 3
/
ATOMIC_SPECIES
Ti 47.87 Ti.upf
Al 26.98 Al.upf
Ga 69.72 Ga.upf
CELL_PARAMETERS angstrom
3.4010 0.0000 0.0000
0.0000 3.4010 0.0000
0.0000 0.0000 8.3175
ATOMIC_POSITIONS crystal
Ti 0.0000 0.0000 0.0000
Ti 0.0000 0.0000 0.3260
Ti 0.0000 0.0000 0.6740
Al 0.5000 0.5000 0.5000
Ga 0.5000 0.5000 0.1674
Ga 0.5000 0.5000 0.8326
```

--- x ---
Ti3AlGa2 | PBE | optimized geometry Values from VASP.

Results
* DOS(E_F): 6.06 states/eV per cell
* mass density: 5.3 Mg/m³
* size of the total moment: 0.00 Bohr magnetons per cell

Quantum ESPRESSO input file:
```
&SYSTEM
  ibrav = 0, nat = 12, ntyp = 3
/
ATOMIC_SPECIES
Ti 47.87 Ti.upf
Al 26.98 Al.upf
Ga 69.72 Ga.upf
CELL_PARAMETERS angstrom
6.9813 -2.7004 0.0000
6.9813 2.7004 0.0000
-1.1117 0.0000 5.1134
ATOMIC_POSITIONS crystal
Ti 0.1264 0.8736 0.7500
Ti 0.2081 0.4564 0.4224
Ti 0.4564 0.2081 0.9224
Ti 0.5436 0.7919 0.0776
Ti 0.7919 0.5436 0.5776
Ti 0.8736 0.1264 0.2500
Al 0.3780 0.6220 0.2500
Al 0.6220 0.3780 0.7500
Ga 0.0411 0.2883 0.0500
Ga 0.2883 0.0411 0.5500
Ga 0.7117 0.9589 0.4500
Ga 0.9589 0.7117 0.9500
```

Relative energy of each structure, in eV/atom: w 0.087; x 0.000.

--- w ---
Ti5AlGa4 | PBE | optimized geometry Values from VASP.

Results
* DOS(E_F): 11.74 states/eV per cell
* mass density: 5.6 Mg/m³
* size of the total moment: 0.00 Bohr magnetons per cell

Quantum ESPRESSO input file:
```
&SYSTEM
  ibrav = 0, nat = 10, ntyp = 3
/
ATOMIC_SPECIES
Ti 47.87 Ti.upf
Al 26.98 Al.upf
Ga 69.72 Ga.upf
CELL_PARAMETERS angstrom
3.3975 0.0000 0.0000
0.0000 3.3975 0.0000
0.0000 0.0000 13.8970
ATOMIC_POSITIONS crystal
Ti 0.0000 0.0000 0.0000
Ti 0.0000 0.0000 0.1992
Ti 0.0000 0.0000 0.3954
Ti 0.0000 0.0000 0.6046
Ti 0.0000 0.0000 0.8008
Al 0.5000 0.5000 0.5000
Ga 0.5000 0.5000 0.0992
Ga 0.5000 0.5000 0.2997
Ga 0.5000 0.5000 0.7003
Ga 0.5000 0.5000 0.9008
```

--- x ---
Ti5AlGa4 | PBE | optimized geometry Values from VASP.

Results
* DOS(E_F): 8.62 states/eV per cell
* mass density: 5.2 Mg/m³
* size of the total moment: 0.00 Bohr magnetons per cell

Quantum ESPRESSO input file:
```
&SYSTEM
  ibrav = 0, nat = 10, ntyp = 3
/
ATOMIC_SPECIES
Ti 47.87 Ti.upf
Al 26.98 Al.upf
Ga 69.72 Ga.upf
CELL_PARAMETERS angstrom
-4.0029 4.0029 2.6965
4.0029 -4.0029 2.6965
4.0029 4.0029 -2.6965
ATOMIC_POSITIONS crystal
Ti 0.0000 0.0000 0.0000
Ti 0.1622 0.9333 0.6122
Ti 0.3211 0.5500 0.3878
Ti 0.5500 0.1622 0.2288
Ti 0.9333 0.3211 0.7712
Al 0.4710 0.4710 0.0000
Ga 0.0125 0.6484 0.1690
Ga 0.4794 0.8435 0.8310
Ga 0.6484 0.4794 0.6359
Ga 0.8435 0.0125 0.3641
```

Relative energy of each structure, in eV/atom: w 0.000; x 0.204.

--- w ---
Ti2Al4Ga | PBE | optimized geometry Values from VASP.

Results
* DOS(E_F): 11.88 states/eV per cell
* mass density: 3.0 Mg/m³
* size of the total moment: 0.00 Bohr magnetons per cell

Quantum ESPRESSO input file:
```
&SYSTEM
  ibrav = 0, nat = 14, ntyp = 3
/
ATOMIC_SPECIES
Ti 47.87 Ti.upf
Al 26.98 Al.upf
Ga 69.72 Ga.upf
CELL_PARAMETERS angstrom
4.8208 0.0000 0.0000
0.0000 4.8208 0.0000
0.0000 0.0000 13.0696
ATOMIC_POSITIONS crystal
Ti 0.0000 0.0000 0.1026
Ti 0.0000 0.0000 0.8974
Ti 0.5000 0.5000 0.3974
Ti 0.5000 0.5000 0.6026
Al 0.0000 0.0000 0.3102
Al 0.0000 0.0000 0.6898
Al 0.0000 0.5000 0.0000
Al 0.0000 0.5000 0.5000
Al 0.5000 0.0000 0.0000
Al 0.5000 0.0000 0.5000
Al 0.5000 0.5000 0.1898
Al 0.5000 0.5000 0.8102
Ga 0.0000 0.0000 0.5000
Ga 0.5000 0.5000 0.0000
```

--- x ---
Ti2Al4Ga | PBE | optimized geometry Values from VASP.

Results
* DOS(E_F): 9.92 states/eV per cell
* mass density: 3.9 Mg/m³
* size of the total moment: 0.00 Bohr magnetons per cell

Quantum ESPRESSO input file:
```
&SYSTEM
  ibrav = 0, nat = 14, ntyp = 3
/
ATOMIC_SPECIES
Ti 47.87 Ti.upf
Al 26.98 Al.upf
Ga 69.72 Ga.upf
CELL_PARAMETERS angstrom
5.2327 0.0000 0.0000
2.3188 6.4242 0.0000
0.9149 0.1019 6.9946
ATOMIC_POSITIONS crystal
Ti 0.0000 0.0000 0.0000
Ti 0.0274 0.4362 0.1337
Ti 0.2345 0.3795 0.5021
Ti 0.5368 0.4110 0.1381
Al 0.1211 0.7531 0.3064
Al 0.2847 0.6053 0.8157
Al 0.4052 0.0649 0.2436
Al 0.4442 0.1791 0.8688
Al 0.6179 0.7680 0.0014
Al 0.6531 0.5823 0.4601
Al 0.8404 0.3757 0.7873
Al 0.8514 0.1651 0.3943
Ga 0.3015 0.9719 0.6237
Ga 0.8601 0.8442 0.6557
```

Relative energy of each structure, in eV/atom: w 0.718; x 0.000.

--- w ---
Ti6Al3Ga | PBE | optimized geometry Values from VASP.

Results
* DOS(E_F): 21.18 states/eV per cell
* mass density: 4.3 Mg/m³
* size of the total moment: 0.00 Bohr magnetons per cell

Quantum ESPRESSO input file:
```
&SYSTEM
  ibrav = 0, nat = 20, ntyp = 3
/
ATOMIC_SPECIES
Ti 47.87 Ti.upf
Al 26.98 Al.upf
Ga 69.72 Ga.upf
CELL_PARAMETERS angstrom
3.9394 -7.9479 0.0000
3.9394 7.9479 0.0000
0.0000 0.0000 5.3861
ATOMIC_POSITIONS crystal
Ti 0.0078 0.9922 0.5000
Ti 0.0956 0.5502 0.9894
Ti 0.2542 0.3788 0.7503
Ti 0.2766 0.7234 0.5515
Ti 0.3788 0.2542 0.2503
Ti 0.4498 0.9044 0.9894
Ti 0.5502 0.0956 0.4894
Ti 0.6212 0.7458 0.7503
Ti 0.7234 0.2766 0.0515
Ti 0.7458 0.6212 0.2503
Ti 0.9044 0.4498 0.4894
Ti 0.9922 0.0078 0.0000
Al 0.0607 0.2914 0.2846
Al 0.2914 0.0607 0.7846
Al 0.4117 0.5883 0.2253
Al 0.5883 0.4117 0.7253
Al 0.7086 0.9393 0.2846
Al 0.9393 0.7086 0.7846
Ga 0.1475 0.8525 0.2301
Ga 0.8525 0.1475 0.7301
```

--- x ---
Ti6Al3Ga | PBE | optimized geometry Values from VASP.

Results
* DOS(E_F): 17.77 states/eV per cell
* mass density: 4.4 Mg/m³
* size of the total moment: 0.00 Bohr magnetons per cell

Quantum ESPRESSO input file:
```
&SYSTEM
  ibrav = 0, nat = 20, ntyp = 3
/
ATOMIC_SPECIES
Ti 47.87 Ti.upf
Al 26.98 Al.upf
Ga 69.72 Ga.upf
CELL_PARAMETERS angstrom
7.6507 0.0000 0.0000
0.0000 4.6216 0.0000
-3.6246 0.0000 9.2442
ATOMIC_POSITIONS crystal
Ti 0.0046 0.2500 0.1710
Ti 0.0093 0.2500 0.6614
Ti 0.2036 0.7500 0.6356
Ti 0.2111 0.2500 0.9706
Ti 0.3863 0.7500 0.4319
Ti 0.4176 0.2500 0.7712
Ti 0.5824 0.7500 0.2288
Ti 0.6137 0.2500 0.5681
Ti 0.7889 0.7500 0.0294
Ti 0.7964 0.2500 0.3644
Ti 0.9907 0.7500 0.3386
Ti 0.9954 0.7500 0.8290
Al 0.1872 0.7500 0.1366
Al 0.2019 0.2500 0.4700
Al 0.3948 0.2500 0.2705
Al 0.6052 0.7500 0.7295
Al 0.7981 0.7500 0.5300
Al 0.8128 0.2500 0.8634
Ga 0.3927 0.7500 0.9284
Ga 0.6073 0.2500 0.0716
```

Relative energy of each structure, in eV/atom: w 0.154; x 0.000.

--- w ---
Ti6Al2Ga | PBE | optimized geometry Values from VASP.

Results
* DOS(E_F): 9.91 states/eV per cell
* mass density: 3.9 Mg/m³
* size of the total moment: 0.00 Bohr magnetons per cell

Quantum ESPRESSO input file:
```
&SYSTEM
  ibrav = 0, nat = 9, ntyp = 3
/
ATOMIC_SPECIES
Ti 47.87 Ti.upf
Al 26.98 Al.upf
Ga 69.72 Ga.upf
CELL_PARAMETERS angstrom
-2.1748 3.0697 6.5110
2.1748 -3.0697 6.5110
2.1748 3.0697 -6.5110
ATOMIC_POSITIONS crystal
Ti 0.0835 0.3339 0.7495
Ti 0.2482 0.0000 0.2482
Ti 0.4156 0.6661 0.7495
Ti 0.5844 0.3339 0.2505
Ti 0.7518 0.0000 0.7518
Ti 0.9165 0.6661 0.2505
Al 0.3336 0.8336 0.5000
Al 0.6664 0.1664 0.5000
Ga 0.0000 0.5000 0.5000
```

--- x ---
Ti6Al2Ga | PBE | optimized geometry Values from VASP.

Results
* DOS(E_F): 13.34 states/eV per cell
* mass density: 4.6 Mg/m³
* size of the total moment: 0.02 Bohr magnetons per cell

Quantum ESPRESSO input file:
```
&SYSTEM
  ibrav = 0, nat = 9, ntyp = 3
/
ATOMIC_SPECIES
Ti 47.87 Ti.upf
Al 26.98 Al.upf
Ga 69.72 Ga.upf
CELL_PARAMETERS angstrom
-1.3657 3.9115 6.9943
1.3657 -3.9115 6.9943
1.3657 3.9115 -6.9943
ATOMIC_POSITIONS crystal
Ti 0.1488 0.8303 0.3185
Ti 0.1741 0.0000 0.1741
Ti 0.4882 0.1697 0.3185
Ti 0.5118 0.8303 0.6815
Ti 0.8259 0.0000 0.8259
Ti 0.8512 0.1697 0.6815
Al 0.1509 0.6509 0.5000
Al 0.8491 0.3491 0.5000
Ga 0.5000 0.5000 0.0000
```

Relative energy of each structure, in eV/atom: w 0.332; x 0.000.

--- w ---
Ti5AlGa3 | PBE | optimized geometry Values from VASP.

Results
* DOS(E_F): 15.72 states/eV per cell
* mass density: 5.5 Mg/m³
* size of the total moment: 0.00 Bohr magnetons per cell

Quantum ESPRESSO input file:
```
&SYSTEM
  ibrav = 0, nat = 18, ntyp = 3
/
ATOMIC_SPECIES
Ti 47.87 Ti.upf
Al 26.98 Al.upf
Ga 69.72 Ga.upf
CELL_PARAMETERS angstrom
7.8537 0.0000 0.0000
-3.9269 6.8015 0.0000
0.0000 0.0000 5.4193
ATOMIC_POSITIONS crystal
Ti 0.0000 0.3031 0.2500
Ti 0.0000 0.6969 0.7500
Ti 0.3031 0.0000 0.2500
Ti 0.3031 0.3031 0.7500
Ti 0.3333 0.6667 0.0000
Ti 0.3333 0.6667 0.5000
Ti 0.6667 0.3333 0.0000
Ti 0.6667 0.3333 0.5000
Ti 0.6969 0.0000 0.7500
Ti 0.6969 0.6969 0.2500
Al 0.0000 0.0000 0.0000
Al 0.0000 0.0000 0.5000
Ga 0.0000 0.3649 0.7500
Ga 0.0000 0.6351 0.2500
Ga 0.3649 0.0000 0.7500
Ga 0.3649 0.3649 0.2500
Ga 0.6351 0.0000 0.2500
Ga 0.6351 0.6351 0.7500
```

--- x ---
Ti5AlGa3 | PBE | optimized geometry Values from VASP.

Results
* DOS(E_F): 15.71 states/eV per cell
* mass density: 4.7 Mg/m³
* size of the total moment: 0.00 Bohr magnetons per cell

Quantum ESPRESSO input file:
```
&SYSTEM
  ibrav = 0, nat = 18, ntyp = 3
/
ATOMIC_SPECIES
Ti 47.87 Ti.upf
Al 26.98 Al.upf
Ga 69.72 Ga.upf
CELL_PARAMETERS angstrom
4.5478 -3.7498 0.0000
4.5478 3.7498 0.0000
-1.3919 0.0000 9.8054
ATOMIC_POSITIONS crystal
Ti 0.0294 0.0294 0.2916
Ti 0.1026 0.4830 0.3443
Ti 0.1672 0.8328 0.0000
Ti 0.2202 0.2202 0.8449
Ti 0.4830 0.1026 0.3443
Ti 0.5170 0.8974 0.6557
Ti 0.7798 0.7798 0.1551
Ti 0.8328 0.1672 0.0000
Ti 0.8974 0.5170 0.6557
Ti 0.9706 0.9706 0.7084
Al 0.4669 0.4669 0.7441
Al 0.5331 0.5331 0.2559
Ga 0.2003 0.2003 0.5478
Ga 0.2499 0.2499 0.1143
Ga 0.5000 0.5000 0.0000
Ga 0.5000 0.5000 0.5000
Ga 0.7501 0.7501 0.8857
Ga 0.7997 0.7997 0.4522
```

Relative energy of each structure, in eV/atom: w 0.000; x 0.509.

--- w ---
Ti5Al4Ga | PBE | optimized geometry Values from VASP.

Results
* DOS(E_F): 12.04 states/eV per cell
* mass density: 4.3 Mg/m³
* size of the total moment: 0.03 Bohr magnetons per cell

Quantum ESPRESSO input file:
```
&SYSTEM
  ibrav = 0, nat = 10, ntyp = 3
/
ATOMIC_SPECIES
Ti 47.87 Ti.upf
Al 26.98 Al.upf
Ga 69.72 Ga.upf
CELL_PARAMETERS angstrom
3.3767 0.0000 0.0000
0.0000 3.3767 0.0000
0.0000 0.0000 14.2037
ATOMIC_POSITIONS crystal
Ti 0.0000 0.0000 0.0000
Ti 0.0000 0.0000 0.2020
Ti 0.0000 0.0000 0.4049
Ti 0.0000 0.0000 0.5950
Ti 0.0000 0.0000 0.7980
Al 0.5000 0.5000 0.1009
Al 0.5000 0.5000 0.3015
Al 0.5000 0.5000 0.6985
Al 0.5000 0.5000 0.8991
Ga 0.5000 0.5000 0.5000
```

--- x ---
Ti5Al4Ga | PBE | optimized geometry Values from VASP.

Results
* DOS(E_F): 10.67 states/eV per cell
* mass density: 3.8 Mg/m³
* size of the total moment: 0.00 Bohr magnetons per cell

Quantum ESPRESSO input file:
```
&SYSTEM
  ibrav = 0, nat = 10, ntyp = 3
/
ATOMIC_SPECIES
Ti 47.87 Ti.upf
Al 26.98 Al.upf
Ga 69.72 Ga.upf
CELL_PARAMETERS angstrom
-4.3100 4.3100 2.4388
4.3100 -4.3100 2.4388
4.3100 4.3100 -2.4388
ATOMIC_POSITIONS crystal
Ti 0.0000 0.0000 0.0000
Ti 0.2712 0.3559 0.6045
Ti 0.3559 0.7514 0.0847
Ti 0.6667 0.2712 0.9153
Ti 0.7514 0.6667 0.3955
Al 0.0621 0.6549 0.6948
Al 0.3673 0.0621 0.4072
Al 0.6549 0.9601 0.5928
Al 0.9601 0.3673 0.3052
Ga 0.4997 0.4997 0.0000
```

Relative energy of each structure, in eV/atom: w 0.000; x 0.366.

--- w ---
AlTlGa | PBE | optimized geometry Values from VASP.

Results
* DOS(E_F): 4.82 states/eV per cell
* mass density: 7.4 Mg/m³
* size of the total moment: 0.00 Bohr magnetons per cell

Quantum ESPRESSO input file:
```
&SYSTEM
  ibrav = 0, nat = 12, ntyp = 3
/
ATOMIC_SPECIES
Al 26.98 Al.upf
Tl 204.38 Tl.upf
Ga 69.72 Ga.upf
CELL_PARAMETERS angstrom
5.6661 0.0000 0.0000
0.0000 5.9866 0.0000
0.0000 0.0000 7.9855
ATOMIC_POSITIONS crystal
Al 0.2500 0.2500 0.2500
Al 0.2500 0.7500 0.7500
Al 0.7500 0.2500 0.2500
Al 0.7500 0.7500 0.7500
Tl 0.0000 0.2500 0.6230
Tl 0.0000 0.7500 0.3770
Tl 0.5000 0.2500 0.8770
Tl 0.5000 0.7500 0.1230
Ga 0.0000 0.0000 0.0000
Ga 0.0000 0.5000 0.0000
Ga 0.5000 0.0000 0.5000
Ga 0.5000 0.5000 0.5000
```

--- x ---
AlTlGa | PBE | optimized geometry Values from VASP.

Results
* DOS(E_F): 2.06 states/eV per cell
* mass density: 7.3 Mg/m³
* size of the total moment: 0.00 Bohr magnetons per cell

Quantum ESPRESSO input file:
```
&SYSTEM
  ibrav = 0, nat = 6, ntyp = 3
/
ATOMIC_SPECIES
Al 26.98 Al.upf
Tl 204.38 Tl.upf
Ga 69.72 Ga.upf
CELL_PARAMETERS angstrom
3.2974 0.0000 0.0000
0.0000 3.2974 0.0000
0.0000 0.0000 12.5285
ATOMIC_POSITIONS crystal
Al 0.0000 0.0000 0.0000
Al 0.5000 0.5000 0.5000
Tl 0.0000 0.0000 0.3131
Tl 0.5000 0.5000 0.8131
Ga 0.0000 0.0000 0.6222
Ga 0.5000 0.5000 0.1222
```

Relative energy of each structure, in eV/atom: w 0.000; x 0.026.